1.
First-principles (GGA-PBE) data for a relaxed structure of LiNd2Cu5Ni2, as listed in Alexandria.

POSCAR file:
```
LiNd2Cu5Ni2
1.0
9.196 0.000 0.000
0.000 9.196 0.000
0.000 0.000 3.909
Li Nd Cu Ni
2 4 10 4
direct
0.000 0.000 0.000
0.500 0.500 0.000
0.185 0.315 0.000
0.315 0.815 0.000
0.685 0.185 0.000
0.815 0.685 0.000
0.000 0.500 0.500
0.059 0.786 0.500
0.214 0.059 0.500
0.286 0.559 0.500
0.441 0.286 0.500
0.500 0.000 0.500
0.559 0.714 0.500
0.714 0.441 0.500
0.786 0.941 0.500
0.941 0.214 0.500
0.110 0.610 0.000
0.390 0.110 0.000
0.610 0.890 0.000
0.890 0.390 0.000
```

Output
**Space group**: P4/mbm, No. 127
**ΔH_f (0 K)**: -0.11 eV per atom
**N(E_F)**: 5.26 states/eV/f.u.


2.
First-principles (GGA-PBE) data for a relaxed structure of LiNdCu3Ni, as listed in Alexandria.

POSCAR file:
```
LiNdCu3Ni
1.0
2.901 -6.165 0.000
2.901 6.165 0.000
0.000 0.000 5.223
Li Nd Cu Ni
2 2 6 2
direct
0.075 0.925 0.750
0.925 0.075 0.250
0.297 0.703 0.750
0.703 0.297 0.250
0.137 0.863 0.250
0.292 0.292 0.000
0.292 0.292 0.500
0.708 0.708 0.000
0.708 0.708 0.500
0.863 0.137 0.750
0.352 0.648 0.250
0.648 0.352 0.750
```

Output
**Space group**: Cmcm, No. 63
**ΔH_f (0 K)**: -0.03 eV per atom
**N(E_F)**: 4.11 states/eV/f.u.


3.
First-principles (GGA-PBE) data for a relaxed structure of LiNd2Cu12Ni3, as listed in Alexandria.

POSCAR file:
```
LiNd2Cu12Ni3
1.0
4.007 2.314 5.656
-4.007 2.314 5.656
0.000 -4.627 5.656
Li Nd Cu Ni
1 2 12 3
direct
0.000 0.000 0.000
0.394 0.394 0.394
0.606 0.606 0.606
0.001 0.648 0.648
0.134 0.134 0.649
0.134 0.649 0.134
0.351 0.866 0.866
0.352 0.352 0.999
0.352 0.999 0.352
0.648 0.001 0.648
0.648 0.648 0.001
0.649 0.134 0.134
0.866 0.351 0.866
0.866 0.866 0.351
0.999 0.352 0.352
0.000 0.000 0.500
0.000 0.500 0.000
0.500 0.000 0.000
```

Output
**Space group**: R-3m, No. 166
**ΔH_f (0 K)**: 0.41 eV per atom
**N(E_F)**: 9.58 states/eV/f.u.